1.
4
Lattice="3.097 0.000 0.000 0.000 3.097 0.000 0.000 0.000 9.363" Properties=species:S:1:pos:R:3 comment="CaTa2Sb (PBE, optimized geometry)" crystal_system=tetragonal rho_g_cm3=9.7 m_tot_mub_per_cell=0.00 final_energy_ry_per_atom=-0.50137 pbc="T T T"
Ca 0.000 0.000 0.000
Ta 1.549 1.549 2.643
Ta 1.549 1.549 6.720
Sb 0.000 0.000 4.681

2.
4
Lattice="3.686 0.000 0.000 0.000 3.686 0.000 0.000 0.000 6.792" Properties=species:S:1:pos:R:3 comment="CaTa2Sb (PBE, optimized geometry)" crystal_system=tetragonal rho_g_cm3=9.4 m_tot_mub_per_cell=0.00 final_energy_ry_per_atom=-0.52025 pbc="T T T"
Ca 0.000 0.000 0.000
Ta 1.843 1.843 2.118
Ta 1.843 1.843 4.674
Sb 0.000 0.000 3.396

3.
6
Lattice="4.206 0.000 0.000 0.000 4.206 0.000 0.000 0.000 8.291" Properties=species:S:1:pos:R:3 comment="CaTaSb (PBE, optimized geometry)" crystal_system=tetragonal rho_g_cm3=7.8 m_tot_mub_per_cell=0.79 final_energy_ry_per_atom=-0.47106 pbc="T T T"
Ca 1.051 1.051 1.241
Ca 3.154 3.154 7.050
Ta 1.051 3.154 4.145
Ta 3.154 1.051 4.145
Sb 1.051 1.051 6.159
Sb 3.154 3.154 2.132

Number 1: raw formation energy 0.64 eV per atom. Number 2: raw formation energy 0.38 eV per atom. Number 3: raw formation energy -0.42 eV per atom.